(1)
A plane-wave DFT calculation with GGA-PBE was carried out for a geometry-optimized Tm2Mg3Pd4 structure.

Cell and atoms, written as CIF:
```
data_Tm2Mg3Pd4
_chemical_formula_sum 'Tm4 Mg6 Pd8'
_symmetry_space_group_name_H-M 'C 1 2/m 1'
_symmetry_Int_Tables_number 12
_cell_length_a 8.118
_cell_length_b 4.688
_cell_length_c 9.020
_cell_angle_alpha 90.00
_cell_angle_beta 90.04
_cell_angle_gamma 90.00
loop_
_symmetry_equiv_pos_as_xyz
'x,y,z'
'-x,-y,-z'
'-x,y,-z'
'x,-y,z'
'x+1/2,y+1/2,z'
'-x+1/2,-y+1/2,-z'
'-x+1/2,y+1/2,-z'
'x+1/2,-y+1/2,z'
loop_
_atom_site_label
_atom_site_type_symbol
_atom_site_fract_x
_atom_site_fract_y
_atom_site_fract_z
Tm1 Tm 0.167 0.000 0.289
Mg1 Mg 0.000 0.500 0.500
Mg2 Mg 0.167 0.000 0.920
Pd1 Pd 0.001 0.500 0.843
Pd2 Pd 0.167 0.000 0.607
```

- DOS(E_F) (states/eV per atom) = 0.3396
- ρ (Mg/m³) = 8.09
- spin magnetization (μB per formula unit) = 0.000



(2)
A plane-wave DFT calculation with GGA-PBE was carried out for a geometry-optimized CaMgNb3 structure.

Cell and atoms, written as CIF:
```
data_CaMgNb3
_chemical_formula_sum 'Ca1 Mg1 Nb3'
_symmetry_space_group_name_H-M 'P m -3 m'
_symmetry_Int_Tables_number 221
_symmetry_space_group_name_Hall '-P 4 2 3'
_cell_length_a 4.827
_cell_length_b 4.827
_cell_length_c 4.827
_cell_angle_alpha 90.00
_cell_angle_beta 90.00
_cell_angle_gamma 90.00
loop_
_atom_site_label
_atom_site_type_symbol
_atom_site_fract_x
_atom_site_fract_y
_atom_site_fract_z
Ca1 Ca 0.000 0.000 0.000
Mg1 Mg 0.500 0.500 0.500
Nb1 Nb 0.000 0.000 0.500
```

- DOS(E_F) (states/eV per atom) = 1.1534
- ρ (Mg/m³) = 5.07
- spin magnetization (μB per formula unit) = 0.000



| no. | calculated volume (Å³/f.u.) | VASP energy (eV per cell) |
| --- | --- | --- |
| 1 | 171.6 | -82.0 |
| 2 | 112.4 | -23.5 |